# Cs12Ag6I (GGA-PBE, relaxed)
# magnetic moment = 0.0 μB per cell
# raw formation energy = -107 meV per atom
# total DFT energy (no corrections) = -61.9 eV for the cell shown
data_Cs12Ag6I
_cell_length_a 13.265
_cell_length_b 13.265
_cell_length_c 13.265
_cell_angle_alpha 90.00
_cell_angle_beta 90.00
_cell_angle_gamma 90.00
_space_group_name_H-M_alt 'I m -3'
_space_group_IT_number 204
_space_group_name_Hall '-I 2 2 3'
loop_
_atom_site_label
_atom_site_fract_x
_atom_site_fract_y
_atom_site_fract_z
_atom_site_occupancy
Cs1 0.000 0.308 0.182 1
Ag1 0.000 0.108 0.500 1
I1 0.000 0.000 0.000 1

# Cs8AgI6 (GGA-PBE, relaxed)
# magnetic moment = 0.0 μB per cell
# raw formation energy = -1140 meV per atom
# total DFT energy (no corrections) = -36.1 eV for the cell shown
data_Cs8AgI6
_cell_length_a 14.0753
_cell_length_b 14.0753
_cell_length_c 5.6918
_cell_angle_alpha 90.00
_cell_angle_beta 90.00
_cell_angle_gamma 120.00
_space_group_name_H-M_alt 'P -3'
_space_group_IT_number 147
loop_
_space_group_symop_operation_xyz
'x,y,z'
'-x,-y,-z'
'-y,x-y,z'
'y,-x+y,-z'
'-x+y,-x,z'
'x-y,x,-z'
loop_
_atom_site_label
_atom_site_fract_x
_atom_site_fract_y
_atom_site_fract_z
_atom_site_occupancy
Cs1 0.0381 0.7155 0.2579 1
Cs2 0.3333 0.6667 0.7454 1
Ag1 0.0000 0.0000 0.5000 1
I1 0.1286 0.4779 0.2440 1

Number 1: ρ 3.37 g/cm³. Number 2: ρ 3.29 g/cm³.